Entry 1:
Material: Li2CuRu
Method: DFT, PBE
State: optimized geometry

Lattice parameters (Å, degrees): 5.9521 5.9521 5.9521 90.00 90.00 90.00
With the nearest neighbours (Å) after each atom.
Space group F-43m (No. 216)
Symmetry-distinct sites (fractional):
1 Li 0.0000 0.0000 0.0000  4 Li 2.58, 4 Cu 2.58
2 Li 0.2500 0.2500 0.2500  4 Ru 2.58, 4 Li 2.58
3 Cu 0.2500 0.2500 0.7500  4 Li 2.58, 4 Ru 2.58
4 Ru 0.0000 0.0000 0.5000  4 Cu 2.58, 4 Li 2.58

Calculated values
The calculation puts the energy above the lowest structure with this stoichiometry at 0.935 eV/f.u. As for the size of the total moment: 6.1 Bohr magnetons per cell. The calculation puts the total energy at -4.015 eV per atom.

Entry 2:
Material: Li2CuRu
Method: DFT, PBE
State: optimized geometry

Lattice parameters (Å, degrees): 6.6135 6.6135 4.9618 90.00 90.00 90.00
With the nearest neighbours (Å) after each atom.
Space group I-42d (No. 122)
Symmetry-distinct sites (fractional):
1 Li 0.2355 0.2500 0.1250  2 Cu 2.35, 2 Ru 2.49, 2 Li 2.49
2 Cu 0.0000 0.0000 0.0000  4 Li 2.35, 2 Ru 2.48
3 Ru 0.0000 0.0000 0.5000  2 Cu 2.48, 4 Li 2.49

Calculated values
The calculation puts the energy above the lowest structure with this stoichiometry at 1.888 eV/f.u. As for the size of the total moment: 3.6 Bohr magnetons per cell. The calculation puts the total energy at -3.777 eV per atom.

Entry 3:
Material: Li2CuRu
Method: DFT, PBE
State: optimized geometry

Lattice parameters (Å, degrees): 2.5471 2.5471 8.7242 90.00 90.00 90.00
With the nearest neighbours (Å) after each atom.
Space group P4mm (No. 99)
Symmetry-distinct sites (fractional):
1 Li 0.0000 0.0000 0.0000  4 Li 2.55, 4 Cu 2.69
2 Li 0.5000 0.5000 0.2978  4 Li 2.55, 4 Ru 2.76
3 Cu 0.5000 0.5000 0.7705  4 Cu 2.55, 4 Li 2.69, 4 Ru 2.71
4 Ru 0.0000 0.0000 0.5379  4 Ru 2.55, 4 Cu 2.71, 4 Li 2.76

Calculated values
The calculation puts the energy above the lowest structure with this stoichiometry at 0.431 eV/f.u. As for the size of the total moment: 0.0 Bohr magnetons per cell. The calculation puts the total energy at -4.141 eV per atom.

Entry 4:
Material: Li2CuRu
Method: DFT, PBE
State: optimized geometry

Lattice parameters (Å, degrees): 3.6278 3.6278 3.8927 90.00 90.00 90.00
With the nearest neighbours (Å) after each atom.
Space group P4/mmm (No. 123)
Symmetry-distinct sites (fractional):
1 Li 0.0000 0.5000 0.0000  4 Li 2.57, 4 Ru 2.66, 4 Cu 2.66
2 Cu 0.0000 0.0000 0.5000  4 Ru 2.57, 8 Li 2.66
3 Ru 0.5000 0.5000 0.5000  4 Cu 2.57, 8 Li 2.66

Calculated values
The calculation puts the energy above the lowest structure with this stoichiometry at 0.687 eV/f.u. As for the size of the total moment: 0.0 Bohr magnetons per cell. The calculation puts the total energy at -4.077 eV per atom.

| no. | E_form (eV per formula unit) |
| --- | --- |
| 1 | 1.14 |
| 2 | 2.09 |
| 3 | 0.63 |
| 4 | 0.89 |